4
Lattice="-8.1274 0.7128 5.3743 -7.2426 -2.2025 6.1758 -6.0278 0.2827 7.6832" Properties=species:S:1:pos:R:3 comment="CaMn2Ag | Alexandria | GGA-PBE | optimized geometry" vol_a3_per_atom=20.6 energy_ry_per_atom=-0.3791 magnetic_moment_mub_per_fu=8.09 crystal_system=trigonal formation_enthalpy_0k_ev_per_atom=0.640 sg="R-3m (166)" pbc="T T T"
Ca -16.0484 -0.9052 14.4250
Mn -21.2212 -1.1970 19.0745
Mn -10.8756 -0.6134 9.7754
Ag -5.3495 -0.3017 4.8083